A relaxed structure of MoRuSN2, computed with PBE.

Output
**Distance to the lowest polymorph of the same formula**: 0.783 eV/f.u.
**Total magnetic moment**: 3.1 μB per formula unit
**Formation energy (no corrections)**: 5.26 eV per formula unit

Structure (POSCAR):
```
MoRuSN2
1.0
3.787 0.000 0.000
0.000 3.787 0.000
0.000 0.000 5.023
Mo Ru S N
1 1 1 2
Direct
0.000 0.000 0.000 Mo
0.500 0.500 0.500 Ru
0.500 0.500 0.000 S
0.000 0.500 0.500 N
0.500 0.000 0.500 N
```